[1]
Entry from Alexandria: crystalline TcP at its relaxed geometry (PBE).

Unit cell a=2.987 b=4.353 c=4.131 alpha=90.00 beta=90.00 gamma=90.00
Space group Pmmn (No. 59, origin choice 2)
Symmetry-distinct sites (fractional):
1 Tc 0.250 0.250 0.132 x2
2 P 0.250 0.750 0.391 x2

Energy of formation from the pure elements (kcal/mol of atoms): -8.8
E_tot (eV for the cell shown): -33.08
ΔE to the lowest computed polymorph (eV/f.u.): 0.37
Total magnetization (μB per cell): 0.0

---

[2]
Entry from Alexandria: crystalline Tc5P at its relaxed geometry (PBE).

Unit cell a=4.7140 b=4.7140 c=4.3903 alpha=90.00 beta=90.00 gamma=120.00
Space group P-62m (No. 189)
Symmetry-distinct sites (fractional):
1 Tc 0.0000 0.6770 0.0000 x3
2 Tc 0.3333 0.6667 0.5000 x2
3 P 0.0000 0.0000 0.5000 x1

Energy of formation from the pure elements (kcal/mol of atoms): -0.4
E_tot (eV for the cell shown): -57.34
ΔE to the lowest computed polymorph (eV/f.u.): 0.56
Total magnetization (μB per cell): 0.0

---

[3]
Entry from Alexandria: crystalline TcP2 at its relaxed geometry (PBE).

Unit cell a=8.616 b=3.052 c=6.865 alpha=90.00 beta=101.23 gamma=90.00
Space group Cm (No. 8)
Symmetry-distinct sites (fractional):
1 Tc 0.000 0.000 0.000 x2
2 Tc 0.214 0.000 0.423 x2
3 P 0.002 0.500 0.458 x2
4 P 0.077 0.500 0.786 x2
5 P 0.292 0.000 0.109 x2
6 P 0.299 0.500 0.697 x2

Energy of formation from the pure elements (kcal/mol of atoms): -7.3
E_tot (eV for the cell shown): -88.54
ΔE to the lowest computed polymorph (eV/f.u.): 0.23
Total magnetization (μB per cell): 0.0

---

[4]
Entry from Alexandria: crystalline TcP2 at its relaxed geometry (PBE).

Unit cell a=3.251 b=3.251 c=7.726 alpha=90.00 beta=90.00 gamma=90.00
Space group I4/mmm (No. 139)
Symmetry-distinct sites (fractional):
1 Tc 0.000 0.000 0.000 x2
2 P 0.000 0.000 0.331 x4

Energy of formation from the pure elements (kcal/mol of atoms): 1.1
E_tot (eV for the cell shown): -42.09
ΔE to the lowest computed polymorph (eV/f.u.): 1.31
Total magnetization (μB per cell): 0.0

---

[5]
Entry from Alexandria: crystalline TcP at its relaxed geometry (PBE).

Unit cell a=7.235 b=7.235 c=7.235 alpha=90.00 beta=90.00 gamma=90.00
Space group I-43m (No. 217)
Symmetry-distinct sites (fractional):
1 Tc 0.137 0.137 0.863 x8
2 P 0.178 0.178 0.178 x8

Energy of formation from the pure elements (kcal/mol of atoms): -1.0
E_tot (eV for the cell shown): -126.89
ΔE to the lowest computed polymorph (eV/f.u.): 1.05
Total magnetization (μB per cell): 0.0

---

[6]
Entry from Alexandria: crystalline TcTeP4 at its relaxed geometry (PBE).

Unit cell a=7.516 b=7.516 c=7.516 alpha=90.00 beta=90.00 gamma=90.00
Space group F-43m (No. 216)
Symmetry-distinct sites (fractional):
1 Tc 0.000 0.000 0.000 x4
2 Te 0.250 0.250 0.750 x4
3 P 0.138 0.138 0.362 x16

E_tot (eV for the cell shown): -117.83
Total magnetization (μB per cell): 12.6
Formation energy without anion corrections (eV per atom): 0.95

---

[7]
Entry from Alexandria: crystalline Tc2TeP at its relaxed geometry (PBE).

Unit cell a=3.131 b=4.990 c=9.533 alpha=90.00 beta=90.00 gamma=90.00
Space group Cmm2 (No. 35)
Symmetry-distinct sites (fractional):
1 Tc 0.000 0.000 0.000 x2
2 Tc 0.000 0.500 0.233 x2
3 Te 0.000 0.000 0.465 x2
4 P 0.000 0.500 0.819 x2

E_tot (eV for the cell shown): -54.65
ΔE to the lowest computed polymorph (eV/f.u.): 2.51
Total magnetization (μB per cell): 0.0
Formation energy without anion corrections (eV per atom): 0.49

---

[8]
Entry from Alexandria: crystalline Tc2TeP at its relaxed geometry (PBE).

Unit cell a=4.056 b=4.056 c=7.866 alpha=90.00 beta=90.00 gamma=90.00
Space group I-4m2 (No. 119)
Symmetry-distinct sites (fractional):
1 Tc 0.000 0.000 0.000 x2
2 Tc 0.000 0.500 0.250 x2
3 Te 0.000 0.500 0.750 x2
4 P 0.000 0.000 0.500 x2

E_tot (eV for the cell shown): -54.49
ΔE to the lowest computed polymorph (eV/f.u.): 2.59
Total magnetization (μB per cell): 0.0
Formation energy without anion corrections (eV per atom): 0.51

---

[9]
Entry from Alexandria: crystalline Tc2TeP at its relaxed geometry (PBE).

Unit cell a=3.150 b=3.555 c=6.278 alpha=90.00 beta=104.45 gamma=90.00
Space group P2/m (No. 10)
Symmetry-distinct sites (fractional):
1 Tc 0.156 0.000 0.303 x2
2 Te 0.500 0.500 0.000 x1
3 P 0.000 0.500 0.500 x1

E_tot (eV for the cell shown): -28.60
ΔE to the lowest computed polymorph (eV/f.u.): 1.24
Total magnetization (μB per cell): 0.0
Formation energy without anion corrections (eV per atom): 0.17

---

[10]
Entry from Alexandria: crystalline Tc2TeP at its relaxed geometry (PBE).

Unit cell a=3.054 b=3.054 c=7.867 alpha=90.00 beta=90.00 gamma=90.00
Space group P4mm (No. 99)
Symmetry-distinct sites (fractional):
1 Tc 0.000 0.000 0.000 x1
2 Tc 0.500 0.500 0.235 x1
3 Te 0.000 0.000 0.446 x1
4 P 0.500 0.500 0.853 x1

E_tot (eV for the cell shown): -29.32
ΔE to the lowest computed polymorph (eV/f.u.): 0.51
Total magnetization (μB per cell): 0.0
Formation energy without anion corrections (eV per atom): -0.01

---

[11]
Entry from Alexandria: crystalline TcTeP at its relaxed geometry (PBE).

Unit cell a=3.073 b=3.073 c=12.149 alpha=90.00 beta=90.00 gamma=90.00
Space group I4mm (No. 107)
Symmetry-distinct sites (fractional):
1 Tc 0.000 0.000 0.000 x2
2 Te 0.000 0.000 0.654 x2
3 P 0.000 0.000 0.396 x2

E_tot (eV for the cell shown): -37.71
ΔE to the lowest computed polymorph (eV/f.u.): 1.04
Total magnetization (μB per cell): 0.0
Formation energy without anion corrections (eV per atom): 0.02

---

[12]
Entry from Alexandria: crystalline TcTeP at its relaxed geometry (PBE).

Unit cell a=6.146 b=6.146 c=6.146 alpha=90.00 beta=90.00 gamma=90.00
Space group F-43m (No. 216)
Symmetry-distinct sites (fractional):
1 Tc 0.000 0.000 0.000 x4
2 Te 0.250 0.250 0.250 x4
3 P 0.250 0.250 0.750 x4

E_tot (eV for the cell shown): -73.76
ΔE to the lowest computed polymorph (eV/f.u.): 1.45
Total magnetization (μB per cell): 0.0
Formation energy without anion corrections (eV per atom): 0.16